# FeP2BrO

A geometry-optimized FeP2BrO structure (PBE+U, Alexandria).

Cell: 4.8336 4.8336 3.6923 Å, 90.00 90.00 90.00°
Closest atoms and distances in Å follow each position.
Atoms (fractional coordinates):
1 Fe 0.0000 0.0000 0.0000  2 O 1.85
2 P 0.0000 0.5000 0.0000  2 Fe 2.42
3 P 0.5000 0.0000 0.0000  2 Fe 2.42
4 Br 0.5000 0.5000 0.5000  8 P 3.04
5 O 0.0000 0.0000 0.5000  2 Fe 1.85

## Properties
Space group = P4/mmm, No. 123
Fermi-level density of states = 4.09 states/eV/f.u.
E = -0.303 Ry/atom